First-principles (PBE) data for a geometry-optimized ZnIrPd2 structure, as listed in the Alexandria database.

CIF file:
```
data_ZnIrPd2
_chemical_formula_sum 'Zn1 Ir1 Pd2'
_cell_length_a 4.634
_cell_length_b 4.634
_cell_length_c 2.776
_cell_angle_alpha 90.00
_cell_angle_beta 90.00
_cell_angle_gamma 90.00
_space_group_name_H-M_alt 'P 4/m m m'
_space_group_IT_number 123
_space_group_name_Hall '-P 4 2'
loop_
_atom_site_label
_atom_site_type_symbol
_atom_site_fract_x
_atom_site_fract_y
_atom_site_fract_z
Zn1 Zn 0.000 0.000 0.000
Ir1 Ir 0.500 0.500 0.000
Pd1 Pd 0.000 0.500 0.500
```

Properties
energy of formation: -0.11 eV per atom
mass density: 13.1 g/cm³
total magnetization: 0.000 μB per formula unit


First-principles (PBE) data for a geometry-optimized Zn8Ir2Pd structure, as listed in the Alexandria database.

CIF file:
```
data_Zn8Ir2Pd
_chemical_formula_sum 'Zn16 Ir4 Pd2'
_cell_length_a 4.203
_cell_length_b 7.029
_cell_length_c 11.107
_cell_angle_alpha 90.00
_cell_angle_beta 90.00
_cell_angle_gamma 90.00
_space_group_name_H-M_alt 'I m m m'
_space_group_IT_number 71
_space_group_name_Hall '-I 2 2'
loop_
_atom_site_label
_atom_site_type_symbol
_atom_site_fract_x
_atom_site_fract_y
_atom_site_fract_z
Zn1 Zn 0.000 0.000 0.143
Zn2 Zn 0.000 0.202 0.351
Zn3 Zn 0.000 0.319 0.000
Ir1 Ir 0.000 0.500 0.211
Pd1 Pd 0.000 0.500 0.500
```

Properties
energy of formation: -0.23 eV per atom
energy above the most stable polymorph in this dataset: 0.0 meV per atom
mass density: 10.3 g/cm³
total magnetization: 0.000 μB per formula unit


First-principles (PBE) data for a geometry-optimized Zn5IrPd4 structure, as listed in the Alexandria database.

CIF file:
```
data_Zn5IrPd4
_chemical_formula_sum 'Zn5 Ir1 Pd4'
_cell_length_a 3.099
_cell_length_b 3.099
_cell_length_c 14.910
_cell_angle_alpha 90.00
_cell_angle_beta 90.00
_cell_angle_gamma 90.00
_space_group_name_H-M_alt 'P 4/m m m'
_space_group_IT_number 123
_space_group_name_Hall '-P 4 2'
loop_
_atom_site_label
_atom_site_type_symbol
_atom_site_fract_x
_atom_site_fract_y
_atom_site_fract_z
Zn1 Zn 0.000 0.000 0.000
Zn2 Zn 0.000 0.000 0.200
Zn3 Zn 0.000 0.000 0.403
Ir1 Ir 0.500 0.500 0.500
Pd1 Pd 0.500 0.500 0.100
Pd2 Pd 0.500 0.500 0.299
```

Properties
energy of formation: -0.48 eV per atom
mass density: 11.0 g/cm³
total magnetization: 0.000 μB per formula unit


First-principles (PBE) data for a geometry-optimized ZnIrPd2 structure, as listed in the Alexandria database.

CIF file:
```
data_ZnIrPd2
_chemical_formula_sum 'Zn4 Ir4 Pd8'
_cell_length_a 3.748
_cell_length_b 3.748
_cell_length_c 18.308
_cell_angle_alpha 90.00
_cell_angle_beta 90.00
_cell_angle_gamma 90.00
_space_group_name_H-M_alt 'I -4 2 d'
_space_group_IT_number 122
_space_group_name_Hall 'I -4 2bw'
loop_
_atom_site_label
_atom_site_type_symbol
_atom_site_fract_x
_atom_site_fract_y
_atom_site_fract_z
Zn1 Zn 0.000 0.000 0.000
Ir1 Ir 0.000 0.000 0.500
Pd1 Pd 0.248 0.250 0.625
```

Properties
energy of formation: 0.26 eV per atom
mass density: 12.1 g/cm³
total magnetization: 0.000 μB per formula unit